CrPtSe2 | meta-GGA SCAN | single point on PBEsol structure

a = 3.0290 Å, b = 3.0290 Å, c = 23.2833 Å
α = 90.00°, β = 90.00°, γ = 120.00°
Space group R-3m (No. 166, hexagonal axes)
Unique sites:
Cr 0.0000 0.0000 0.0000 [3 per cell]
Pt 0.0000 0.0000 0.5000 [3 per cell]
Se 0.0000 0.0000 0.2621 [6 per cell]

Properties
Fermi-level density of states ... 9.42 states/eV per cell

=====

Ba5In | meta-GGA SCAN | single point on PBEsol structure

a = 5.6913 Å, b = 17.3439 Å, c = 5.7896 Å
α = 90.00°, β = 90.00°, γ = 90.00°
Space group Cmmm (No. 65)
Unique sites:
Ba 0.0000 0.0000 0.0000 [2 per cell]
Ba 0.0000 0.1478 0.5000 [4 per cell]
Ba 0.0000 0.3458 0.0000 [4 per cell]
In 0.0000 0.5000 0.5000 [2 per cell]

Properties
Energy of formation ... -115 meV/atom
Fermi-level density of states ... 15.40 states/eV per cell

=====

LaYTl2 | meta-GGA SCAN | single point on PBEsol structure

a = 3.6463 Å, b = 5.2749 Å, c = 6.3711 Å
α = 90.00°, β = 90.00°, γ = 90.00°
Space group Pmm2 (No. 25)
Unique sites:
La 0.0000 0.0000 0.0000 [1 per cell]
Y 0.5000 0.5000 0.5235 [1 per cell]
Tl 0.0000 0.0000 0.5000 [1 per cell]
Tl 0.5000 0.5000 0.0293 [1 per cell]

Properties
Energy of formation ... -432 meV/atom
Fermi-level density of states ... 4.31 states/eV per cell

=====

NaCaIn2Ni | meta-GGA SCAN | single point on PBEsol structure

a = 5.7005 Å, b = 5.7005 Å, c = 5.5414 Å
α = 90.00°, β = 90.00°, γ = 90.00°
Space group P4/mmm (No. 123)
Unique sites:
Na 0.0000 0.0000 0.0000 [1 per cell]
Ca 0.0000 0.0000 0.5000 [1 per cell]
In 0.0000 0.5000 0.5000 [2 per cell]
Ni 0.5000 0.5000 0.0000 [1 per cell]

Properties
Energy of formation ... 1247 meV/atom
Fermi-level density of states ... 5.71 states/eV per cell

=====

NiMoC2Br | meta-GGA SCAN | single point on PBEsol structure

a = 3.8397 Å, b = 3.8397 Å, c = 4.7728 Å
α = 90.00°, β = 90.00°, γ = 90.00°
Space group P4/mmm (No. 123)
Unique sites:
Ni 0.0000 0.0000 0.0000 [1 per cell]
Mo 0.5000 0.5000 0.0000 [1 per cell]
C 0.0000 0.5000 0.5000 [2 per cell]
Br 0.5000 0.5000 0.5000 [1 per cell]

Properties
Fermi-level density of states ... 3.14 states/eV per cell

=====

Cd3Ag | meta-GGA SCAN | single point on PBEsol structure

a = 4.2202 Å, b = 4.2202 Å, c = 8.5735 Å
α = 90.00°, β = 90.00°, γ = 90.00°
Space group I4/mmm (No. 139)
Unique sites:
Cd 0.0000 0.0000 0.0000 [2 per cell]
Cd 0.0000 0.5000 0.2500 [4 per cell]
Ag 0.0000 0.0000 0.5000 [2 per cell]

Properties
Energy of formation ... -10 meV/atom
Fermi-level density of states ... 2.37 states/eV per cell

=====

Tl2TcAg | meta-GGA SCAN | single point on PBEsol structure

a = 3.4244 Å, b = 3.4244 Å, c = 6.4396 Å
α = 90.00°, β = 90.00°, γ = 90.00°
Space group P4/mmm (No. 123)
Unique sites:
Tl 0.0000 0.0000 0.2360 [2 per cell]
Tc 0.5000 0.5000 0.0000 [1 per cell]
Ag 0.5000 0.5000 0.5000 [1 per cell]

Properties
Energy of formation ... 654 meV/atom
Fermi-level density of states ... 1.99 states/eV per cell

=====

Hf9Re4S | meta-GGA SCAN | single point on PBEsol structure

a = 8.4762 Å, b = 8.4762 Å, c = 8.4447 Å
α = 90.00°, β = 90.00°, γ = 120.00°
Space group P6_3/mmc (No. 194)
Unique sites:
Hf 0.0869 0.5434 0.2500 [6 per cell]
Hf 0.1953 0.3906 0.5534 [12 per cell]
Re 0.0000 0.0000 0.0000 [2 per cell]
Re 0.1104 0.2209 0.2500 [6 per cell]
S 0.3333 0.6667 0.7500 [2 per cell]

Properties
Fermi-level density of states ... 25.44 states/eV per cell

=====

CrOsRh2 | meta-GGA SCAN | single point on PBEsol structure

a = 2.6540 Å, b = 2.6540 Å, c = 7.4174 Å
α = 90.00°, β = 90.00°, γ = 90.00°
Space group P4mm (No. 99)
Unique sites:
Cr 0.0000 0.0000 0.0000 [1 per cell]
Os 0.5000 0.5000 0.2426 [1 per cell]
Rh 0.0000 0.0000 0.4986 [1 per cell]
Rh 0.5000 0.5000 0.7662 [1 per cell]

Properties
Energy of formation ... 2 meV/atom
Fermi-level density of states ... 4.16 states/eV per cell

=====

MnSeIN2 | meta-GGA SCAN | single point on PBEsol structure

a = 3.8229 Å, b = 3.8229 Å, c = 6.7315 Å
α = 90.00°, β = 90.00°, γ = 90.00°
Space group P4/mmm (No. 123)
Unique sites:
Mn 0.0000 0.0000 0.0000 [1 per cell]
Se 0.5000 0.5000 0.5000 [1 per cell]
I 0.5000 0.5000 0.0000 [1 per cell]
N 0.0000 0.5000 0.5000 [2 per cell]

Properties
Fermi-level density of states ... 1.79 states/eV per cell

=====

MgTcTeI2 | meta-GGA SCAN | single point on PBEsol structure

a = 5.3987 Å, b = 5.3987 Å, c = 5.6758 Å
α = 90.00°, β = 90.00°, γ = 90.00°
Space group P4/mmm (No. 123)
Unique sites:
Mg 0.0000 0.0000 0.0000 [1 per cell]
Tc 0.5000 0.5000 0.5000 [1 per cell]
Te 0.0000 0.0000 0.5000 [1 per cell]
I 0.0000 0.5000 0.0000 [2 per cell]

Properties
Fermi-level density of states ... 1.27 states/eV per cell

=====

SrLi2Ca2 | meta-GGA SCAN | single point on PBEsol structure

a = 9.2297 Å, b = 9.2297 Å, c = 4.1187 Å
α = 90.00°, β = 90.00°, γ = 90.00°
Space group P4/mbm (No. 127)
Unique sites:
Sr 0.0000 0.0000 0.0000 [2 per cell]
Li 0.1278 0.3722 0.0000 [4 per cell]
Ca 0.1612 0.6612 0.5000 [4 per cell]

Properties
Energy of formation ... 16 meV/atom
Fermi-level density of states ... 6.93 states/eV per cell

=====

MgCu2Si | meta-GGA SCAN | single point on PBEsol structure

a = 3.1299 Å, b = 3.1299 Å, c = 5.5371 Å
α = 90.00°, β = 90.00°, γ = 90.00°
Space group P4/mmm (No. 123)
Unique sites:
Mg 0.0000 0.0000 0.0000 [1 per cell]
Cu 0.5000 0.5000 0.2742 [2 per cell]
Si 0.0000 0.0000 0.5000 [1 per cell]

Properties
Fermi-level density of states ... 0.90 states/eV per cell

=====

BeFeCu2S | meta-GGA SCAN | single point on PBEsol structure

a = 4.0514 Å, b = 4.0514 Å, c = 3.9980 Å
α = 90.00°, β = 90.00°, γ = 90.00°
Space group P4/mmm (No. 123)
Unique sites:
Be 0.0000 0.0000 0.0000 [1 per cell]
Fe 0.5000 0.5000 0.5000 [1 per cell]
Cu 0.0000 0.5000 0.0000 [2 per cell]
S 0.0000 0.0000 0.5000 [1 per cell]

Properties
Fermi-level density of states ... 2.44 states/eV per cell

=====

WSe2N | meta-GGA SCAN | single point on PBEsol structure

a = 5.3629 Å, b = 5.3629 Å, c = 10.0418 Å
α = 90.00°, β = 90.00°, γ = 90.00°
Space group I-42d (No. 122)
Unique sites:
W 0.0000 0.0000 0.0000 [4 per cell]
Se 0.2127 0.2500 0.6250 [8 per cell]
N 0.0000 0.0000 0.5000 [4 per cell]

Properties
Fermi-level density of states ... 13.01 states/eV per cell

=====

YSc2Ag | meta-GGA SCAN | single point on PBEsol structure

a = 3.3541 Å, b = 3.3541 Å, c = 8.2740 Å
α = 90.00°, β = 90.00°, γ = 90.00°
Space group P4mm (No. 99)
Unique sites:
Y 0.0000 0.0000 0.0000 [1 per cell]
Sc 0.0000 0.0000 0.4491 [1 per cell]
Sc 0.5000 0.5000 0.7098 [1 per cell]
Ag 0.5000 0.5000 0.2496 [1 per cell]

Properties
Energy of formation ... -134 meV/atom
Fermi-level density of states ... 4.91 states/eV per cell

=====

Fe2CoIr | meta-GGA SCAN | single point on PBEsol structure

a = 5.0726 Å, b = 7.1086 Å, c = 2.5862 Å
α = 90.00°, β = 90.00°, γ = 90.00°
Space group Cmmm (No. 65)
Unique sites:
Fe 0.2500 0.2500 0.0000 [4 per cell]
Co 0.0000 0.0000 0.5000 [2 per cell]
Ir 0.0000 0.5000 0.5000 [2 per cell]

Properties
Energy of formation ... -69 meV/atom
Fermi-level density of states ... 7.05 states/eV per cell

=====

BeCu3 | meta-GGA SCAN | single point on PBEsol structure

a = 2.5024 Å, b = 2.5024 Å, c = 7.7560 Å
α = 90.00°, β = 90.00°, γ = 120.00°
Space group P-6m2 (No. 187)
Unique sites:
Be 0.0000 0.0000 0.0000 [1 per cell]
Cu 0.0000 0.0000 0.5000 [1 per cell]
Cu 0.3333 0.6667 0.2324 [2 per cell]

Properties
Energy of formation ... -41 meV/atom
Fermi-level density of states ... 1.05 states/eV per cell

=====

Tm2TlZn | meta-GGA SCAN | single point on PBEsol structure

a = 7.1580 Å, b = 7.1580 Å, c = 7.1580 Å
α = 90.00°, β = 90.00°, γ = 90.00°
Space group Fm-3m (No. 225)
Unique sites:
Tm 0.2500 0.2500 0.2500 [8 per cell]
Tl 0.0000 0.0000 0.0000 [4 per cell]
Zn 0.0000 0.0000 0.5000 [4 per cell]

Properties
Energy of formation ... -463 meV/atom
Fermi-level density of states ... 12.03 states/eV per cell

=====

MgTc2Pt | meta-GGA SCAN | single point on PBEsol structure

a = 2.8683 Å, b = 2.8683 Å, c = 7.3445 Å
α = 90.00°, β = 90.00°, γ = 90.00°
Space group P4mm (No. 99)
Unique sites:
Mg 0.0000 0.0000 0.0000 [1 per cell]
Tc 0.0000 0.0000 0.5175 [1 per cell]
Tc 0.5000 0.5000 0.7187 [1 per cell]
Pt 0.5000 0.5000 0.2491 [1 per cell]

Properties
Energy of formation ... -217 meV/atom
Fermi-level density of states ... 3.43 states/eV per cell

=====

ZrNb3C4 | meta-GGA SCAN | single point on PBEsol structure

a = 3.1922 Å, b = 3.1922 Å, c = 31.3313 Å
α = 90.00°, β = 90.00°, γ = 120.00°
Space group R-3m (No. 166, hexagonal axes)
Unique sites:
Zr 0.0000 0.0000 0.0000 [3 per cell]
Nb 0.0000 0.0000 0.2484 [6 per cell]
Nb 0.0000 0.0000 0.5000 [3 per cell]
C 0.0000 0.0000 0.1258 [6 per cell]
C 0.0000 0.0000 0.3774 [6 per cell]

Properties
Energy of formation ... -640 meV/atom
Fermi-level density of states ... 8.65 states/eV per cell

=====

IrC2I2 | meta-GGA SCAN | single point on PBEsol structure

a = 6.2476 Å, b = 6.2476 Å, c = 5.3572 Å
α = 90.00°, β = 90.00°, γ = 90.00°
Space group I4/mmm (No. 139)
Unique sites:
Ir 0.0000 0.0000 0.0000 [2 per cell]
C 0.0000 0.0000 0.3759 [4 per cell]
I 0.0000 0.5000 0.2500 [4 per cell]

Properties
Fermi-level density of states ... 9.03 states/eV per cell

=====

ScBi3Rh | meta-GGA SCAN | single point on PBEsol structure

a = 5.3723 Å, b = 5.3723 Å, c = 5.3723 Å
α = 90.00°, β = 90.00°, γ = 90.00°
Space group Pm-3m (No. 221)
Unique sites:
Sc 0.0000 0.0000 0.0000 [1 per cell]
Bi 0.0000 0.0000 0.5000 [3 per cell]
Rh 0.5000 0.5000 0.5000 [1 per cell]

Properties
Energy of formation ... 865 meV/atom
Fermi-level density of states ... 6.14 states/eV per cell

=====

KTlSe | meta-GGA SCAN | single point on PBEsol structure

a = 7.4920 Å, b = 7.4920 Å, c = 7.4920 Å
α = 90.00°, β = 90.00°, γ = 90.00°
Space group F-43m (No. 216)
Unique sites:
K 0.0000 0.0000 0.0000 [4 per cell]
Tl 0.0000 0.0000 0.5000 [4 per cell]
Se 0.2500 0.2500 0.7500 [4 per cell]

=====

OsRh3O | meta-GGA SCAN | single point on PBEsol structure

a = 4.0034 Å, b = 4.0034 Å, c = 4.0034 Å
α = 90.00°, β = 90.00°, γ = 90.00°
Space group Pm-3m (No. 221)
Unique sites:
Os 0.0000 0.0000 0.0000 [1 per cell]
Rh 0.0000 0.5000 0.5000 [3 per cell]
O 0.5000 0.5000 0.5000 [1 per cell]

Properties
Fermi-level density of states ... 5.94 states/eV per cell

=====

CrSe8 | meta-GGA SCAN | single point on PBEsol structure

a = 11.0553 Å, b = 11.0553 Å, c = 3.8061 Å
α = 90.00°, β = 90.00°, γ = 90.00°
Space group I4/mmm (No. 139)
Unique sites:
Cr 0.0000 0.0000 0.0000 [2 per cell]
Se 0.0000 0.2200 0.0000 [8 per cell]
Se 0.1798 0.1798 0.5000 [8 per cell]

Properties
Fermi-level density of states ... 8.04 states/eV per cell

=====

BeSb2W | meta-GGA SCAN | single point on PBEsol structure

a = 3.4495 Å, b = 4.2628 Å, c = 4.9890 Å
α = 90.00°, β = 90.00°, γ = 90.00°
Space group Pmmm (No. 47)
Unique sites:
Be 0.0000 0.0000 0.0000 [1 per cell]
Sb 0.0000 0.5000 0.5000 [1 per cell]
Sb 0.5000 0.5000 0.0000 [1 per cell]
W 0.5000 0.0000 0.5000 [1 per cell]

Properties
Fermi-level density of states ... 2.14 states/eV per cell

=====

The records above yield VASP energy values of -32.00; -38.64; -54.35; -18.12; -14.76; -30.66; -52.13; -61.78; -39.45; -17.31; -29.65; -9.26; -11.34; -11.84; -28.56; -22.06; -31.23; -12.53; -47.85; -36.54; -21.95; -31.29; -55.88; -34.39; -35.30; -19.72; -36.12 eV/atom, respectively.
The records above yield spin magnetization values of 0.00; 0.00; 0.00; 0.90; 2.30; 0.00; 0.00; 0.00; 0.00; 5.94; 5.01; 0.04; 0.00; 2.98; 0.00; 1.51; 7.53; 0.00; 0.00; 0.00; 0.00; 0.00; 1.24; 0.00; 0.00; 3.57; 0.00 μB per formula unit, respectively.